Record 1
The following is a PBE calculation of As3H5Pd12 after structural relaxation, from OQMD.

Results
* space-group type: Ia-3d
* calculated volume: 12.71 Å³/atom
* calculated total energy: -4.89 eV/atom
* crystal system: cubic

```
As3H5Pd12
1.0
-6.335 6.335 6.335
6.335 -6.335 6.335
6.335 6.335 -6.335
As H Pd
12 20 48
Cartesian
3.168 1.584 0.000
6.335 3.168 -1.584
1.584 0.000 3.168
7.919 0.000 3.168
0.000 3.168 1.584
3.168 -1.584 6.335
3.168 7.919 0.000
6.335 3.168 4.751
-1.584 6.335 3.168
4.751 6.335 3.168
0.000 3.168 7.919
3.168 4.751 6.335
0.000 0.000 0.000
3.168 3.168 -3.168
3.168 -3.168 3.168
6.335 0.000 0.000
9.503 1.584 0.000
6.335 -3.168 4.751
4.751 6.335 -3.168
4.751 0.000 3.168
3.168 4.751 0.000
6.335 3.168 1.584
-3.168 3.168 3.168
0.000 6.335 0.000
0.000 0.000 6.335
3.168 3.168 3.168
0.000 3.168 4.751
3.168 1.584 6.335
1.584 6.335 3.168
1.584 0.000 9.503
0.000 9.503 1.584
-3.168 4.751 6.335
1.864 -0.464 0.681
7.638 3.848 -3.632
8.200 0.464 0.681
7.638 -2.487 3.632
5.871 -0.681 1.864
9.967 -1.303 2.487
0.681 1.864 -0.464
8.822 2.704 -1.303
3.848 3.632 -1.303
5.654 1.864 0.464
-0.464 0.681 1.864
3.632 -1.303 3.848
5.871 5.654 -1.864
3.632 1.303 2.487
3.848 -3.632 7.638
5.654 -1.864 5.871
2.487 3.632 1.303
7.016 4.471 0.464
3.632 7.638 -2.487
5.871 0.681 4.471
1.864 5.871 -0.681
7.638 2.487 2.704
1.303 2.487 3.632
1.864 0.464 5.654
4.471 5.871 0.681
5.032 3.848 2.704
-1.303 3.848 3.632
4.471 0.464 7.016
0.464 5.654 1.864
2.704 -1.303 8.822
-0.681 1.864 5.871
3.848 2.704 5.032
0.681 8.200 0.464
2.487 9.967 -1.303
2.704 5.032 3.848
0.464 0.681 8.200
2.704 7.638 2.487
6.799 5.654 4.471
0.681 4.471 5.871
2.487 2.704 7.638
-2.487 3.632 7.638
5.654 4.471 6.799
-3.632 7.638 3.848
0.464 7.016 4.471
-1.303 8.822 2.704
-1.864 5.871 5.654
-1.303 2.487 9.967
4.471 6.799 5.654
```



Record 2
The following is a PBE calculation of Pm2AsH after structural relaxation, from OQMD.

Results
* space-group type: P4/mmm
* calculated volume: 23.70 Å³/atom
* calculated total energy: -5.13 eV/atom
* crystal system: tetragonal
* total magnetic moment: 0.077 μB/atom

```
Pm2AsH
1.0
4.092 0.000 0.000
0.000 4.092 0.000
0.000 0.000 5.662
Pm As H
2 1 1
Cartesian
0.000 0.000 0.000
2.046 2.046 2.831
0.000 0.000 2.831
2.046 2.046 0.000
```



Record 3
The following is a PBE calculation of AsH6PtW after structural relaxation, from OQMD.

Results
* space-group type: F-43m
* calculated volume: 7.99 Å³/atom
* calculated total energy: -4.08 eV/atom
* crystal system: cubic
* total magnetic moment: 0.001 μB/atom

```
AsH6PtW
1.0
0.000 3.300 3.300
3.300 0.000 3.300
3.300 3.300 0.000
As H Pt W
1 6 1 1
Cartesian
0.000 0.000 0.000
1.650 1.650 0.179
1.650 0.179 1.650
3.122 1.650 1.650
0.179 1.650 1.650
1.650 3.122 1.650
1.650 1.650 3.122
4.950 4.950 4.950
3.300 3.300 3.300
```



Record 4
The following is a PBE calculation of ThAsH after structural relaxation, from OQMD.

Results
* space-group type: P-6m2
* calculated volume: 18.85 Å³/atom
* calculated total energy: -6.23 eV/atom
* crystal system: hexagonal
* total magnetic moment: 0.000 μB/atom

```
ThAsH
1.0
4.049 0.000 0.000
-2.025 3.507 0.000
0.000 0.000 3.983
Th As H
1 1 1
Cartesian
0.000 0.000 0.000
2.025 1.169 1.991
0.000 2.338 0.000
```



Record 5
The following is a PBE calculation of ZrAsH after structural relaxation, from OQMD.

Results
* space-group type: P-6m2
* calculated volume: 13.96 Å³/atom
* calculated total energy: -6.45 eV/atom
* crystal system: hexagonal
* total magnetic moment: 0.000 μB/atom

```
ZrAsH
1.0
3.637 0.000 0.000
-1.818 3.149 0.000
0.000 0.000 3.655
Zr As H
1 1 1
Cartesian
0.000 0.000 0.000
0.000 2.100 1.828
1.818 1.050 0.000
```



Record 6
The following is a PBE calculation of Hf2As after structural relaxation, from OQMD.

Results
* space-group type: Immm
* calculated volume: 19.93 Å³/atom
* calculated total energy: -8.88 eV/atom
* crystal system: orthorhombic
* total magnetic moment: 0.000 μB/atom

```
Hf2As
1.0
-1.744 2.816 6.086
1.744 -2.816 6.086
1.744 2.816 -6.086
Hf As
4 2
Cartesian
0.000 0.000 2.351
1.744 1.368 0.000
0.000 1.448 6.086
0.000 0.000 9.821
1.744 0.000 4.417
0.000 2.816 1.669
```



Record 7
The following is a PBE calculation of HfAs after structural relaxation, from OQMD.

Results
* space-group type: Pmma
* calculated volume: 23.34 Å³/atom
* calculated total energy: -7.78 eV/atom
* crystal system: orthorhombic
* total magnetic moment: 0.001 μB/atom

```
HfAs
1.0
5.600 0.000 0.000
0.000 4.829 0.000
0.000 0.000 6.905
Hf As
4 4
Cartesian
0.000 0.000 0.000
1.400 2.415 1.710
2.800 0.000 0.000
4.200 2.415 5.195
1.400 0.000 2.475
1.400 2.415 5.852
4.200 0.000 4.430
4.200 2.415 1.054
```



Record 8
The following is a PBE calculation of Hf3As2 after structural relaxation, from OQMD.

Results
* space-group type: Pnma
* calculated volume: 19.49 Å³/atom
* calculated total energy: -8.74 eV/atom
* crystal system: orthorhombic
* total magnetic moment: 0.001 μB/atom

```
Hf3As2
1.0
10.511 0.000 0.000
0.000 3.666 0.000
0.000 0.000 10.117
Hf As
12 8
Cartesian
0.470 0.916 1.260
1.321 2.749 5.747
2.235 0.916 8.028
3.021 2.749 2.970
3.935 0.916 0.689
4.786 2.749 6.318
5.725 0.916 3.798
6.577 2.749 9.428
7.491 0.916 7.147
8.277 2.749 2.089
9.190 0.916 4.369
10.042 2.749 8.857
0.337 2.749 3.258
2.049 2.749 10.105
3.207 0.916 5.047
4.919 0.916 8.317
5.593 2.749 1.800
7.305 2.749 5.070
8.463 0.916 0.011
10.174 0.916 6.858
```



Record 9
The following is a PBE calculation of Hf2As after structural relaxation, from OQMD.

Results
* space-group type: Pnnm
* calculated volume: 19.67 Å³/atom
* calculated total energy: -8.99 eV/atom
* crystal system: orthorhombic
* total magnetic moment: 0.000 μB/atom

```
Hf2As
1.0
12.496 0.000 0.000
0.000 15.423 0.000
0.000 0.000 3.674
Hf As
24 12
Cartesian
0.327 1.621 0.000
1.043 8.860 0.000
1.219 11.452 1.837
1.439 6.460 1.837
1.910 15.068 1.837
2.356 3.169 1.837
3.892 10.880 0.000
4.338 7.356 0.000
4.809 14.171 0.000
5.029 3.741 0.000
5.205 1.149 1.837
5.921 9.332 1.837
6.575 6.090 1.837
7.291 14.274 1.837
7.467 11.682 0.000
7.688 1.251 0.000
8.159 8.066 0.000
8.605 4.543 0.000
10.140 12.254 1.837
10.586 0.355 1.837
11.057 8.963 1.837
11.277 3.971 1.837
11.453 6.563 0.000
12.169 13.802 0.000
0.763 4.440 0.000
2.362 13.093 0.000
3.047 9.034 1.837
3.201 1.322 0.000
3.886 5.381 1.837
5.485 12.151 1.837
7.012 3.271 1.837
8.610 10.041 1.837
9.296 14.101 0.000
9.449 6.389 1.837
10.135 2.330 0.000
11.733 10.983 0.000
```



Record 10
The following is a PBE calculation of HfAs after structural relaxation, from OQMD.

Results
* space-group type: F-43m
* calculated volume: 26.91 Å³/atom
* calculated total energy: -7.63 eV/atom
* crystal system: cubic
* total magnetic moment: 0.001 μB/atom

```
HfAs
1.0
0.000 2.997 2.997
2.997 0.000 2.997
2.997 2.997 0.000
Hf As
1 1
Cartesian
0.000 0.000 0.000
1.498 1.498 1.498
```



Record 11
The following is a PBE calculation of Hf2As after structural relaxation, from OQMD.

Results
* space-group type: Fd-3m
* calculated volume: 21.58 Å³/atom
* calculated total energy: -7.85 eV/atom
* crystal system: cubic
* total magnetic moment: 0.000 μB/atom

```
Hf2As
1.0
0.000 4.016 4.016
4.016 0.000 4.016
4.016 4.016 0.000
Hf As
4 2
Cartesian
0.000 0.000 0.000
2.008 2.008 0.000
2.008 0.000 2.008
0.000 2.008 2.008
3.012 3.012 3.012
5.019 5.019 5.019
```



Record 12
The following is a PBE calculation of HfAs after structural relaxation, from OQMD.

Results
* space-group type: P6_3/mmc
* calculated volume: 19.92 Å³/atom
* calculated total energy: -8.31 eV/atom
* crystal system: hexagonal
* total magnetic moment: 0.000 μB/atom

```
HfAs
1.0
3.797 0.000 0.000
-1.898 3.288 0.000
0.000 0.000 12.766
Hf As
4 4
Cartesian
0.000 2.192 1.494
0.000 2.192 4.889
1.898 1.096 7.877
1.898 1.096 11.273
0.000 0.000 0.000
0.000 0.000 6.383
0.000 2.192 9.575
1.898 1.096 3.192
```